Entry 1:
Density functional theory data (GGA-PBE) for a relaxed CdNiBr2 crystal.

Unit cell a=8.082 b=8.082 c=3.911 alpha=75.88 beta=75.88 gamma=25.96
Positions (direct):
Br  0.006  0.006  0.117
Br  0.244  0.244  0.382
Cd  0.396  0.396  0.729
Ni  0.854  0.854  0.271

Calculated values
theoretical density = 5.074 g cm⁻³
uncorrected energy = -2.7511 eV per atom
relative energy among the computed polymorphs = 0.000 eV per atom

***

Entry 2:
Density functional theory data (GGA-PBE) for a relaxed ZnFe2Pb crystal.

Unit cell a=3.161 b=3.313 c=6.869 alpha=67.44 beta=90.00 gamma=90.00
Positions (direct):
Fe  0.000  0.101  0.936
Fe  0.000  0.399  0.564
Pb  0.500  0.250  0.250
Zn  0.500  0.750  0.750

Calculated values
calculated formation energy = 0.40 eV/atom
theoretical density = 9.606 g cm⁻³
uncorrected energy = -5.0723 eV per atom

***

Entry 3:
Density functional theory data (GGA-PBE) for a relaxed InIr crystal.

Unit cell a=3.061 b=3.061 c=9.152 alpha=90.00 beta=90.00 gamma=120.00
Positions (direct):
In  0.000  0.000  0.976
In  0.667  0.333  0.274
Ir  0.000  0.000  0.515
Ir  0.667  0.333  0.735

Calculated values
calculated formation energy = 0.37 eV/atom
theoretical density = 13.735 g cm⁻³
uncorrected energy = -5.4283 eV per atom

***

Entry 4:
Density functional theory data (GGA-PBE) for a relaxed KLiCd2 crystal.

Unit cell a=5.388 b=5.388 c=5.388 alpha=60.00 beta=60.00 gamma=60.00
Positions (direct):
Cd  0.000  0.000  0.000
Cd  0.250  0.250  0.250
K  0.500  0.500  0.500
Li  0.750  0.750  0.750

Calculated values
calculated formation energy = 0.01 eV/atom
theoretical density = 4.066 g cm⁻³
uncorrected energy = -1.1954 eV per atom
relative energy among the computed polymorphs = 0.127 eV per atom

***

Entry 5:
Density functional theory data (GGA-PBE) for a relaxed DyTm4Se5 crystal.

Unit cell a=4.019 b=4.019 c=14.585 alpha=97.92 beta=97.92 gamma=90.00
Positions (direct):
Dy  0.000  0.000  0.000
Tm  0.403  0.403  0.805
Tm  0.796  0.796  0.592
Tm  0.204  0.204  0.408
Tm  0.597  0.597  0.195
Se  0.102  0.102  0.205
Se  0.500  0.500  0.000
Se  0.898  0.898  0.795
Se  0.303  0.303  0.606
Se  0.697  0.697  0.394

Calculated values
theoretical density = 8.860 g cm⁻³
uncorrected energy = -5.6652 eV per atom
relative energy among the computed polymorphs = 0.003 eV per atom

***

Entry 6:
Density functional theory data (GGA-PBE) for a relaxed Sm7TlS5 crystal.

Unit cell a=4.030 b=6.979 c=24.207 alpha=89.99 beta=90.00 gamma=106.82
Positions (direct):
Sm  0.483  0.966  0.250
Sm  0.518  0.035  0.750
Sm  0.636  0.272  0.036
Sm  0.364  0.729  0.964
Sm  0.364  0.729  0.536
Sm  0.636  0.272  0.464
Sm  0.175  0.351  0.171
Sm  0.825  0.650  0.829
Sm  0.825  0.650  0.671
Sm  0.175  0.351  0.329
Sm  0.909  0.818  0.108
Sm  0.092  0.183  0.892
Sm  0.092  0.183  0.608
Sm  0.909  0.818  0.392
Tl  0.800  0.600  0.250
Tl  0.200  0.402  0.750
S  0.000  0.001  0.000
S  0.727  0.454  0.931
S  0.273  0.547  0.069
S  0.544  0.088  0.360
S  0.457  0.914  0.640
S  0.000  0.001  0.500
S  0.274  0.548  0.431
S  0.727  0.454  0.570
S  0.457  0.914  0.860
S  0.544  0.087  0.140

Calculated values
theoretical density = 7.222 g cm⁻³
uncorrected energy = -5.9466 eV per atom

***

Entry 7:
Density functional theory data (GGA-PBE) for a relaxed HoZrSe3 crystal.

Unit cell a=6.872 b=6.868 c=7.621 alpha=63.12 beta=63.17 gamma=59.97
Positions (direct):
Ho  0.342  0.342  0.974
Ho  0.658  0.658  0.026
Zr  0.836  0.835  0.491
Zr  0.164  0.165  0.509
Se  0.765  0.425  0.746
Se  0.065  0.765  0.743
Se  0.426  0.065  0.744
Se  0.235  0.575  0.254
Se  0.935  0.235  0.257
Se  0.574  0.935  0.256

Calculated values
theoretical density = 6.164 g cm⁻³
uncorrected energy = -6.2129 eV per atom

***

Entry 8:
Density functional theory data (GGA-PBE) for a relaxed ReP3 crystal.

Unit cell a=4.639 b=4.639 c=4.639 alpha=139.57 beta=119.77 gamma=75.06
Positions (direct):
P  0.225  0.225  0.000
P  0.775  0.775  0.000
P  0.000  0.500  0.500
Re  0.500  0.000  0.500

Calculated values
calculated formation energy = 0.52 eV/atom
theoretical density = 8.442 g cm⁻³
uncorrected energy = -6.6528 eV per atom
relative energy among the computed polymorphs = 0.852 eV per atom

***

Entry 9:
Density functional theory data (GGA-PBE) for a relaxed Ac8Tl2Cd crystal.

Unit cell a=5.563 b=9.752 c=9.774 alpha=119.92 beta=106.53 gamma=90.00
Positions (direct):
Ac  0.659  0.883  0.318
Ac  0.341  0.565  0.682
Ac  0.139  0.139  0.278
Ac  0.000  0.320  0.000
Ac  0.861  0.861  0.722
Ac  0.659  0.435  0.318
Ac  0.341  0.117  0.682
Ac  0.000  0.680  0.000
Tl  0.194  0.694  0.388
Tl  0.806  0.306  0.612
Cd  0.500  0.000  0.000

Calculated values
calculated formation energy = -0.09 eV/atom
theoretical density = 8.941 g cm⁻³
uncorrected energy = -3.5874 eV per atom
relative energy among the computed polymorphs = 0.046 eV per atom

***

Entry 10:
Density functional theory data (GGA-PBE) for a relaxed Sm5Al2Ag crystal.

Unit cell a=7.737 b=7.737 c=9.391 alpha=114.33 beta=114.33 gamma=90.00
Positions (direct):
Sm  0.523  0.682  0.704
Sm  0.818  0.977  0.296
Sm  0.000  0.000  0.000
Sm  0.500  0.500  0.000
Sm  0.182  0.023  0.704
Sm  0.682  0.182  0.704
Sm  0.023  0.523  0.704
Sm  0.318  0.818  0.296
Sm  0.977  0.477  0.296
Sm  0.477  0.318  0.296
Al  0.119  0.381  0.000
Al  0.619  0.119  0.000
Al  0.381  0.881  0.000
Al  0.881  0.619  0.000
Ag  0.750  0.750  0.500
Ag  0.250  0.250  0.500

Calculated values
calculated formation energy = -0.22 eV/atom
theoretical density = 6.640 g cm⁻³
uncorrected energy = -4.4651 eV per atom

***

Entry 11:
Density functional theory data (GGA-PBE) for a relaxed La5Tl2Cl crystal.

Unit cell a=4.486 b=9.230 c=12.676 alpha=90.00 beta=90.00 gamma=90.00
Positions (direct):
La  0.000  0.000  0.500
La  0.000  0.500  0.000
La  0.000  0.853  0.204
La  0.000  0.147  0.796
La  0.000  0.647  0.704
La  0.000  0.353  0.296
La  0.500  0.695  0.438
La  0.500  0.305  0.562
La  0.500  0.805  0.938
La  0.500  0.195  0.062
Tl  0.500  0.579  0.183
Tl  0.500  0.421  0.817
Tl  0.500  0.921  0.683
Tl  0.500  0.079  0.317
Cl  0.000  0.500  0.500
Cl  0.000  0.000  0.000

Calculated values
theoretical density = 7.206 g cm⁻³
uncorrected energy = -4.5021 eV per atom

***

Entry 12:
Density functional theory data (GGA-PBE) for a relaxed YZnSn crystal.

Unit cell a=4.674 b=4.674 c=7.191 alpha=90.00 beta=90.00 gamma=120.00
Positions (direct):
Y  0.000  0.000  0.500
Y  0.000  0.000  0.000
Zn  0.667  0.333  0.250
Zn  0.333  0.667  0.750
Sn  0.667  0.333  0.750
Sn  0.333  0.667  0.250

Calculated values
calculated formation energy = -0.54 eV/atom
theoretical density = 6.664 g cm⁻³
uncorrected energy = -4.4520 eV per atom

***

Entry 13:
Density functional theory data (GGA-PBE) for a relaxed CrInIr crystal.

Unit cell a=2.863 b=2.863 c=6.714 alpha=90.00 beta=90.00 gamma=120.00
Positions (direct):
Cr  0.000  0.000  0.981
In  0.667  0.333  0.327
Ir  0.333  0.667  0.692

Calculated values
calculated formation energy = 0.28 eV/atom
theoretical density = 12.507 g cm⁻³
uncorrected energy = -6.7969 eV per atom

***

Entry 14:
Density functional theory data (GGA-PBE) for a relaxed LiCa2Co crystal.

Unit cell a=9.712 b=9.712 c=9.712 alpha=21.83 beta=21.83 gamma=21.83
Positions (direct):
Ca  0.981  0.981  0.981
Ca  0.519  0.519  0.519
Co  0.250  0.250  0.250
Li  0.750  0.750  0.750

Calculated values
calculated formation energy = 0.33 eV/atom
theoretical density = 2.184 g cm⁻³
uncorrected energy = -2.9244 eV per atom

***

Entry 15:
Density functional theory data (GGA-PBE) for a relaxed KSb2Pd5 crystal.

Unit cell a=4.170 b=6.835 c=6.835 alpha=67.03 beta=72.24 gamma=72.24
Positions (direct):
K  0.000  0.000  0.000
Sb  0.754  0.746  0.746
Sb  0.246  0.254  0.254
Pd  0.000  0.500  0.500
Pd  0.646  0.540  0.167
Pd  0.354  0.460  0.833
Pd  0.354  0.833  0.460
Pd  0.646  0.167  0.540

Calculated values
theoretical density = 8.107 g cm⁻³
uncorrected energy = -4.7750 eV per atom

***

Entry 16:
Density functional theory data (GGA-PBE) for a relaxed CaSi2Mo crystal.

Unit cell a=5.506 b=5.506 c=3.781 alpha=89.99 beta=89.99 gamma=37.55
Positions (direct):
Ca  0.531  0.531  0.625
Mo  0.240  0.240  0.125
Si  0.931  0.931  0.125
Si  0.798  0.798  0.625

Calculated values
theoretical density = 4.568 g cm⁻³
uncorrected energy = -6.0839 eV per atom
relative energy among the computed polymorphs = 0.120 eV per atom

***

Entry 17:
Density functional theory data (GGA-PBE) for a relaxed Ba2LiCdCu crystal.

Unit cell a=6.218 b=6.218 c=5.088 alpha=90.00 beta=90.00 gamma=90.00
Positions (direct):
Li  0.500  0.500  0.500
Ba  0.000  0.500  0.000
Ba  0.500  0.000  0.000
Cu  0.000  0.000  0.000
Cd  0.000  0.000  0.500

Calculated values
calculated formation energy = 0.00 eV/atom
theoretical density = 3.863 g cm⁻³
uncorrected energy = -2.1546 eV per atom
relative energy among the computed polymorphs = 0.020 eV per atom

***

Entry 18:
Density functional theory data (GGA-PBE) for a relaxed TcNi8Rh2 crystal.

Unit cell a=4.434 b=4.427 c=6.793 alpha=96.56 beta=90.31 gamma=99.41
Positions (direct):
Tc  0.500  0.000  0.000
Ni  0.592  0.542  0.180
Ni  0.318  0.906  0.637
Ni  0.235  0.368  0.454
Ni  0.954  0.727  0.908
Ni  0.765  0.632  0.546
Ni  0.682  0.094  0.363
Ni  0.408  0.458  0.820
Ni  0.046  0.273  0.092
Rh  0.134  0.819  0.275
Rh  0.866  0.181  0.725

Calculated values
calculated formation energy = 0.02 eV/atom
theoretical density = 9.830 g cm⁻³
uncorrected energy = -6.4602 eV per atom

***

Entry 19:
Density functional theory data (GGA-PBE) for a relaxed CsTcCl6 crystal.

Unit cell a=6.454 b=6.454 c=6.484 alpha=99.84 beta=99.84 gamma=100.00
Positions (direct):
Cs  0.500  0.500  0.500
Tc  0.000  0.000  0.000
Cl  0.741  0.074  0.740
Cl  0.074  0.741  0.740
Cl  0.926  0.259  0.260
Cl  0.259  0.926  0.260
Cl  0.262  0.262  0.929
Cl  0.738  0.738  0.071

Calculated values
theoretical density = 2.872 g cm⁻³
uncorrected energy = -3.7616 eV per atom

***

Entry 20:
Density functional theory data (GGA-PBE) for a relaxed Y2HfHg crystal.

Unit cell a=4.459 b=4.459 c=11.356 alpha=78.68 beta=78.68 gamma=90.00
Positions (direct):
Y  0.631  0.125  0.250
Y  0.119  0.625  0.250
Y  0.375  0.369  0.750
Y  0.875  0.881  0.750
Hf  0.500  0.500  0.000
Hf  0.250  0.750  0.500
Hg  0.000  0.000  0.000
Hg  0.750  0.250  0.500

Calculated values
calculated formation energy = 0.38 eV/atom
theoretical density = 8.527 g cm⁻³
uncorrected energy = -5.4157 eV per atom